Material: YTlMo3
Method: DFT, PBE-GGA
State: relaxed

Unit cell a=4.8839 b=4.8839 c=4.8839 alpha=90.00 beta=90.00 gamma=90.00
Element x y z (fractional)
1 Y 0.0000 0.0000 0.0000
2 Tl 0.5000 0.5000 0.5000
3 Mo 0.0000 0.0000 0.5000
4 Mo 0.0000 0.5000 0.0000
5 Mo 0.5000 0.0000 0.0000

Results
Total magnetization = 0.00 Bohr magnetons per cell
Energy relative to the elements = 54.4 kcal/mol of atoms

---

Material: Y2TlMo
Method: DFT, PBE-GGA
State: relaxed

Unit cell a=3.7080 b=3.7080 c=7.2730 alpha=90.00 beta=90.00 gamma=90.00
Element x y z (fractional)
1 Y 0.0000 0.0000 0.0000
2 Y 0.5000 0.5000 0.3344
3 Tl 0.5000 0.5000 0.7577
4 Mo 0.0000 0.0000 0.5708

Results
Total magnetization = 0.74 Bohr magnetons per cell
Energy relative to the elements = 6.7 kcal/mol of atoms

---

Material: YTl2Mo
Method: DFT, PBE-GGA
State: relaxed

Unit cell a=5.7553 b=5.7553 c=5.7553 alpha=135.45 beta=135.45 gamma=64.83
Element x y z (fractional)
1 Y 0.0000 0.0000 0.0000
2 Tl 0.5000 0.5000 0.0000
3 Tl 0.7500 0.2500 0.5000
4 Mo 0.2500 0.7500 0.5000

Results
Total magnetization = 0.97 Bohr magnetons per cell
Energy relative to the elements = 8.3 kcal/mol of atoms

---

Material: Y2TlMo
Method: DFT, PBE-GGA
State: relaxed

Unit cell a=5.7211 b=5.7211 c=5.7211 alpha=133.96 beta=133.96 gamma=67.14
Element x y z (fractional)
1 Y 0.0000 0.0000 0.0000
2 Y 0.7500 0.2500 0.5000
3 Tl 0.5000 0.5000 0.0000
4 Mo 0.2500 0.7500 0.5000

Results
Total magnetization = 0.00 Bohr magnetons per cell
Energy relative to the elements = 5.0 kcal/mol of atoms

---

Material: YTl4Mo
Method: DFT, PBE-GGA
State: relaxed

Unit cell a=6.1136 b=6.1136 c=6.1136 alpha=60.00 beta=60.00 gamma=60.00
Element x y z (fractional)
1 Y 0.0000 0.0000 0.0000
2 Tl 0.3755 0.3755 0.3755
3 Tl 0.3755 0.3755 0.8736
4 Tl 0.3755 0.8736 0.3755
5 Tl 0.8736 0.3755 0.3755
6 Mo 0.7500 0.7500 0.7500

Results
Total magnetization = 2.64 Bohr magnetons per cell
Energy relative to the elements = 14.7 kcal/mol of atoms

---

Material: YTl2Mo
Method: DFT, PBE-GGA
State: relaxed

Unit cell a=4.4887 b=4.4887 c=4.5133 alpha=90.00 beta=90.00 gamma=90.00
Element x y z (fractional)
1 Y 0.0000 0.0000 0.0000
2 Tl 0.0000 0.5000 0.5000
3 Tl 0.5000 0.0000 0.5000
4 Mo 0.5000 0.5000 0.0000

Results
Total magnetization = 0.54 Bohr magnetons per cell
Energy relative to the elements = 7.7 kcal/mol of atoms

---

Q: What is the total magnetization in the sixth record?
A: 0.54 Bohr magnetons per cell

---

Repeat the fourth record exactly.
Material: Y2TlMo
Method: DFT, PBE-GGA
State: relaxed

Unit cell a=5.7211 b=5.7211 c=5.7211 alpha=133.96 beta=133.96 gamma=67.14
Element x y z (fractional)
1 Y 0.0000 0.0000 0.0000
2 Y 0.7500 0.2500 0.5000
3 Tl 0.5000 0.5000 0.0000
4 Mo 0.2500 0.7500 0.5000

Results
Total magnetization = 0.00 Bohr magnetons per cell
Energy relative to the elements = 5.0 kcal/mol of atoms

---

Q: Which value of energy relative to the elements does entry 1 give?
A: 54.4 kcal/mol of atoms

---

Copy entry 6 word for word.
Material: YTl2Mo
Method: DFT, PBE-GGA
State: relaxed

Unit cell a=4.4887 b=4.4887 c=4.5133 alpha=90.00 beta=90.00 gamma=90.00
Element x y z (fractional)
1 Y 0.0000 0.0000 0.0000
2 Tl 0.0000 0.5000 0.5000
3 Tl 0.5000 0.0000 0.5000
4 Mo 0.5000 0.5000 0.0000

Results
Total magnetization = 0.54 Bohr magnetons per cell
Energy relative to the elements = 7.7 kcal/mol of atoms